{"formula": "HRhS2N", "functional": "PBE", "state": "relaxed", "spacegroup": "P4/mmm, No. 123", "final_energy_ev_per_cell": -19.83, "m_tot_mub_per_atom": 0.119, "lattice_angstrom": [[3.656, 0.000, 0.000], [0.000, 3.656, 0.000], [0.000, 0.000, 4.048]], "species": ["H", "Rh", "S", "S", "N"], "fractional_positions": [[0.000, 0.000, 0.000], [0.500, 0.500, 0.500], [0.000, 0.500, 0.000], [0.500, 0.000, 0.000], [0.000, 0.000, 0.500]]}